Sr3Ag11 | the Open Quantum Materials Database | PBE | relaxed; SG = Immm; raw total energy = -2.783 eV/atom
1.0
-6.719 -5.151 2.287
0.701 -0.102 8.741
-1.900 4.363 -7.366
Ag Sr
11 3
Direct
0.311 0.672 0.639 Ag
0.032 0.672 0.361 Ag
0.301 0.500 0.801 Ag
0.403 0.125 0.278 Ag
0.154 0.875 0.278 Ag
0.689 0.328 0.361 Ag
0.500 0.000 0.500 Ag
0.968 0.328 0.639 Ag
0.699 0.500 0.199 Ag
0.846 0.125 0.722 Ag
0.597 0.875 0.722 Ag
0.000 0.000 0.000 Sr
0.306 0.306 0.000 Sr
0.694 0.694 0.000 Sr

---

Sr2Ag7 | the Open Quantum Materials Database | PBE | relaxed; SG = P-3m1; raw total energy = -2.755 eV/atom
1.0
6.166 0.000 0.000
-3.083 5.340 0.000
0.000 0.000 6.293
Ag Sr
7 2
Direct
0.822 0.644 0.667 Ag
0.178 0.356 0.333 Ag
0.000 0.000 0.000 Ag
0.356 0.178 0.667 Ag
0.178 0.822 0.333 Ag
0.644 0.822 0.333 Ag
0.822 0.178 0.667 Ag
0.667 0.333 0.157 Sr
0.333 0.667 0.843 Sr

---

SrAg2 | the Open Quantum Materials Database | PBE | relaxed; SG = P6_3/mmc; raw total energy = -2.683 eV/atom
1.0
5.887 0.000 0.000
-2.943 5.098 0.000
0.000 0.000 19.105
Ag Sr
16 8
Direct
0.500 0.000 0.000 Ag
0.334 0.167 0.750 Ag
0.500 0.500 0.000 Ag
0.833 0.666 0.750 Ag
0.333 0.667 0.377 Ag
0.333 0.667 0.123 Ag
0.666 0.833 0.250 Ag
0.167 0.334 0.250 Ag
0.000 0.500 0.500 Ag
0.500 0.000 0.500 Ag
0.000 0.500 0.000 Ag
0.167 0.833 0.250 Ag
0.500 0.500 0.500 Ag
0.667 0.333 0.623 Ag
0.667 0.333 0.877 Ag
0.833 0.167 0.750 Ag
0.000 0.000 0.904 Sr
0.000 0.000 0.404 Sr
0.000 0.000 0.596 Sr
0.000 0.000 0.096 Sr
0.333 0.667 0.656 Sr
0.333 0.667 0.844 Sr
0.667 0.333 0.344 Sr
0.667 0.333 0.156 Sr

---

Question: Which formula does entry 2 have?
Answer: Sr2Ag7

---

Question: raw total energy of number 3 (SrAg2)?
Answer: -2.683 eV/atom